Entry 1:
# NiMoO2F

Crystalline NiMoO2F at its relaxed geometry (PBE with a Hubbard U, Alexandria).

Its calculated density is 5075 kg/m3.

```
NiMoO2F
1.0
4.0331 0.0000 0.0000
0.0000 4.0331 0.0000
0.0000 0.0000 4.1367
Ni Mo O F
1 1 2 1
Direct
0.0000 0.0000 0.0000
0.5000 0.5000 0.5000
0.0000 0.5000 0.5000
0.5000 0.0000 0.5000
0.5000 0.5000 0.0000
```



Entry 2:
# NiMoO2F

Crystalline NiMoO2F at its relaxed geometry (PBE with a Hubbard U, Alexandria).

Its calculated density is 5991 kg/m3.

```
NiMoO2F
1.0
3.9002 0.0000 0.0000
0.0000 3.9002 0.0000
0.0000 0.0000 3.7468
Ni Mo O F
1 1 2 1
Direct
0.0000 0.0000 0.0000
0.5000 0.5000 0.5000
0.0000 0.5000 0.0000
0.5000 0.0000 0.0000
0.0000 0.0000 0.5000
```



Entry 3:
# NiMoOF2

Crystalline NiMoOF2 at its relaxed geometry (PBE with a Hubbard U, Alexandria).

Its calculated density is 5571 kg/m3.

```
NiMoOF2
1.0
3.8244 0.0000 0.0000
0.0000 3.8244 0.0000
0.0000 0.0000 4.2521
Ni Mo O F
1 1 1 2
Direct
0.0000 0.0000 0.0000
0.5000 0.5000 0.5000
0.0000 0.0000 0.5000
0.0000 0.5000 0.0000
0.5000 0.0000 0.0000
```



Entry 4:
# NiMoPd2F

Crystalline NiMoPd2F at its relaxed geometry (PBE with a Hubbard U, Alexandria).

Its calculated density is 6092 kg/m3.

```
NiMoPd2F
1.0
4.5597 0.0000 0.0000
0.0000 4.5597 0.0000
0.0000 0.0000 5.0668
Ni Mo Pd F
1 1 2 1
Direct
0.0000 0.0000 0.0000
0.0000 0.0000 0.5000
0.0000 0.5000 0.0000
0.5000 0.0000 0.0000
0.5000 0.5000 0.5000
```



Entry 5:
# RbNiMoF6

Crystalline RbNiMoF6 at its relaxed geometry (PBE with a Hubbard U, Alexandria).

Its calculated density is 3635 kg/m3.

```
RbNiMoF6
1.0
2.7812 -4.7929 0.0000
2.7812 4.7929 0.0000
-0.0224 0.0000 6.0675
Rb Ni Mo F
1 1 1 6
Direct
0.0000 0.0000 0.0000
0.6673 0.3327 0.5000
0.3332 0.6668 0.5000
0.3725 0.3636 0.3177
0.3756 0.0095 0.6833
0.6345 0.0070 0.3173
0.6364 0.6275 0.6823
0.9905 0.6244 0.3167
0.9930 0.3655 0.6827
```



Entry 6:
# Re2NiMoF

Crystalline Re2NiMoF at its relaxed geometry (PBE with a Hubbard U, Alexandria).

Its calculated density is 9167 kg/m3.

```
Re2NiMoF
1.0
4.4633 0.0000 0.0000
0.0000 4.4633 0.0000
0.0000 0.0000 4.9654
Re Ni Mo F
2 1 1 1
Direct
0.0000 0.5000 0.0000
0.5000 0.0000 0.0000
0.0000 0.0000 0.0000
0.0000 0.0000 0.5000
0.5000 0.5000 0.5000
```



Entry 7:
# MoOF3

Crystalline MoOF3 at its relaxed geometry (PBE with a Hubbard U, Alexandria).

Its calculated density is 3966 kg/m3.

```
MoOF3
1.0
4.1357 0.0000 0.0000
0.0000 4.1357 0.0000
0.0000 0.0000 4.1357
Mo O F
1 1 3
Direct
0.0000 0.0000 0.0000
0.5000 0.5000 0.5000
0.0000 0.0000 0.5000
0.0000 0.5000 0.0000
0.5000 0.0000 0.0000
```



Entry 8:
# Mo2OF

Crystalline Mo2OF at its relaxed geometry (PBE with a Hubbard U, Alexandria).

Its calculated density is 6807 kg/m3.

```
Mo2OF
1.0
3.9751 0.0000 0.0000
0.0000 3.9751 0.0000
0.0000 0.0000 14.0114
Mo O F
8 4 4
Direct
0.2041 0.2500 0.1250
0.2500 0.7041 0.3750
0.2500 0.7959 0.8750
0.2959 0.2500 0.6250
0.7041 0.7500 0.6250
0.7500 0.2041 0.8750
0.7500 0.2959 0.3750
0.7959 0.7500 0.1250
0.0000 0.0000 0.0000
0.0000 0.5000 0.2500
0.5000 0.0000 0.7500
0.5000 0.5000 0.5000
0.0000 0.0000 0.5000
0.0000 0.5000 0.7500
0.5000 0.0000 0.2500
0.5000 0.5000 0.0000
```



Entry 9:
# MoOF3

Crystalline MoOF3 at its relaxed geometry (PBE with a Hubbard U, Alexandria).

Its calculated density is 4036 kg/m3.

```
MoOF3
1.0
4.4170 -2.8182 0.0000
4.4170 2.8182 0.0000
0.0000 0.0000 5.5831
Mo O F
2 2 6
Direct
0.2236 0.7764 0.7500
0.7764 0.2236 0.2500
0.0000 0.0000 0.0000
0.0000 0.0000 0.5000
0.0722 0.5052 0.7500
0.4948 0.9278 0.7500
0.5000 0.5000 0.0000
0.5000 0.5000 0.5000
0.5052 0.0722 0.2500
0.9278 0.4948 0.2500
```



Entry 10:
# MoOF

Crystalline MoOF at its relaxed geometry (PBE with a Hubbard U, Alexandria).

Its calculated density is 5075 kg/m3.

```
MoOF
1.0
3.3825 0.0000 0.0000
-1.6912 2.9293 0.0000
0.0000 0.0000 4.3243
Mo O F
1 1 1
Direct
0.0000 0.0000 0.0000
0.6667 0.3333 0.8139
0.3333 0.6667 0.2488
```



Entry 11:
# MoO2F2

Crystalline MoO2F2 at its relaxed geometry (PBE with a Hubbard U, Alexandria).

Its calculated density is 5070 kg/m3.

```
MoO2F2
1.0
3.7244 0.0000 0.0000
0.0000 3.7244 0.0000
0.0000 0.0000 3.9184
Mo O F
1 2 2
Direct
0.0000 0.0000 0.0000
0.0000 0.5000 0.5000
0.5000 0.0000 0.5000
0.5000 0.5000 0.0000
0.5000 0.5000 0.5000
```



Entry 12:
# MoO2F2

Crystalline MoO2F2 at its relaxed geometry (PBE with a Hubbard U, Alexandria).

Its calculated density is 4426 kg/m3.

```
MoO2F2
1.0
4.4504 0.0000 0.0000
0.0000 4.4504 0.0000
0.0000 0.0000 3.1434
Mo O F
1 2 2
Direct
0.0000 0.0000 0.0000
0.5000 0.5000 0.0000
0.5000 0.5000 0.5000
0.0000 0.5000 0.5000
0.5000 0.0000 0.5000
```



Entry 13:
# MoO2F

Crystalline MoO2F at its relaxed geometry (PBE with a Hubbard U, Alexandria).

Its calculated density is 3241 kg/m3.

```
MoO2F
1.0
5.8430 0.0000 0.0000
0.0000 5.8430 0.0000
0.0000 0.0000 8.8205
Mo O F
4 8 4
Direct
0.0000 0.0000 0.0000
0.0000 0.5000 0.2500
0.5000 0.0000 0.7500
0.5000 0.5000 0.5000
0.0593 0.2500 0.1250
0.2500 0.5593 0.3750
0.2500 0.9407 0.8750
0.4407 0.2500 0.6250
0.5593 0.7500 0.6250
0.7500 0.0593 0.8750
0.7500 0.4407 0.3750
0.9407 0.7500 0.1250
0.0000 0.0000 0.5000
0.0000 0.5000 0.7500
0.5000 0.0000 0.2500
0.5000 0.5000 0.0000
```



Entry 14:
# MoO2F

Crystalline MoO2F at its relaxed geometry (PBE with a Hubbard U, Alexandria).

Its calculated density is 3997 kg/m3.

```
MoO2F
1.0
9.5263 0.0000 0.0000
0.0000 5.6157 0.0000
-3.3966 0.0000 4.5642
Mo O F
4 8 4
Direct
0.0000 0.2209 0.0000
0.0000 0.7791 0.5000
0.5000 0.2791 0.5000
0.5000 0.7209 0.0000
0.0006 0.0061 0.2554
0.0006 0.9939 0.7554
0.2498 0.2515 0.2487
0.2498 0.7485 0.7487
0.5006 0.4939 0.7554
0.5006 0.5061 0.2554
0.7498 0.2485 0.7487
0.7498 0.7515 0.2487
0.4989 0.0073 0.2402
0.4989 0.9927 0.7402
0.9989 0.4927 0.7402
0.9989 0.5073 0.2402
```



Entry 15:
# Mo2O4F

Crystalline Mo2O4F at its relaxed geometry (PBE with a Hubbard U, Alexandria).

Its calculated density is 5202 kg/m3.

```
Mo2O4F
1.0
3.8653 0.0000 0.0000
0.0000 3.8653 0.0000
0.0000 0.0000 11.7449
Mo O F
4 8 2
Direct
0.0000 0.0000 0.1254
0.0000 0.0000 0.8746
0.5000 0.5000 0.3746
0.5000 0.5000 0.6254
0.0000 0.0000 0.2768
0.0000 0.0000 0.7232
0.0000 0.5000 0.0000
0.0000 0.5000 0.5000
0.5000 0.0000 0.0000
0.5000 0.0000 0.5000
0.5000 0.5000 0.2232
0.5000 0.5000 0.7768
0.0000 0.0000 0.5000
0.5000 0.5000 0.0000
```



Entry 16:
# MoOF3

Crystalline MoOF3 at its relaxed geometry (PBE with a Hubbard U, Alexandria).

Its calculated density is 3343 kg/m3.

```
MoOF3
1.0
8.7037 0.0000 0.0000
-4.3519 7.5376 0.0000
0.0000 0.0000 3.8377
Mo O F
3 3 9
Direct
0.0000 0.0000 0.0000
0.3333 0.6667 0.6667
0.6667 0.3333 0.3333
0.0000 0.0000 0.4989
0.3333 0.6667 0.1656
0.6667 0.3333 0.8322
0.0835 0.5417 0.6623
0.1249 0.2499 0.9957
0.1249 0.8751 0.9957
0.4168 0.2084 0.3290
0.4583 0.5417 0.6623
0.4583 0.9165 0.6623
0.7501 0.8751 0.9957
0.7916 0.2084 0.3290
0.7916 0.5832 0.3290
```



Entry 17:
# Mo3OF

Crystalline Mo3OF at its relaxed geometry (PBE with a Hubbard U, Alexandria).

Its calculated density is 5197 kg/m3.

```
Mo3OF
1.0
4.6897 0.0000 0.0000
0.0000 4.6897 0.0000
0.0000 0.0000 4.6897
Mo O F
3 1 1
Direct
0.0000 0.0000 0.5000
0.0000 0.5000 0.0000
0.5000 0.0000 0.0000
0.0000 0.0000 0.0000
0.5000 0.5000 0.5000
```



Entry 18:
# MoOF3

Crystalline MoOF3 at its relaxed geometry (PBE with a Hubbard U, Alexandria).

Its calculated density is 4605 kg/m3.

```
MoOF3
1.0
3.9347 0.0000 0.0000
0.0000 3.9347 0.0000
0.0000 0.0000 3.9347
Mo O F
1 1 3
Direct
0.0000 0.0000 0.0000
0.5000 0.5000 0.5000
0.0000 0.5000 0.5000
0.5000 0.0000 0.5000
0.5000 0.5000 0.0000
```



Entry 19:
# MoO2F

Crystalline MoO2F at its relaxed geometry (PBE with a Hubbard U, Alexandria).

Its calculated density is 6979 kg/m3.

```
MoO2F
1.0
5.1905 0.0000 0.0000
0.0000 5.1905 0.0000
0.0000 0.0000 5.1905
Mo O F
4 8 4
Direct
0.0000 0.0000 0.0000
0.0000 0.5000 0.5000
0.5000 0.0000 0.5000
0.5000 0.5000 0.0000
0.2500 0.2500 0.2500
0.2500 0.2500 0.7500
0.2500 0.7500 0.2500
0.2500 0.7500 0.7500
0.7500 0.2500 0.2500
0.7500 0.2500 0.7500
0.7500 0.7500 0.2500
0.7500 0.7500 0.7500
0.0000 0.0000 0.5000
0.0000 0.5000 0.0000
0.5000 0.0000 0.0000
0.5000 0.5000 0.5000
```



Entry 20:
# MoOF

Crystalline MoOF at its relaxed geometry (PBE with a Hubbard U, Alexandria).

Its calculated density is 4681 kg/m3.

```
MoOF
1.0
10.7925 0.0000 0.0000
0.0000 3.3872 0.0000
-3.0355 0.0000 5.0827
Mo O F
4 4 4
Direct
0.2443 0.0000 0.2635
0.2557 0.5000 0.7365
0.7443 0.5000 0.2635
0.7557 0.0000 0.7365
0.1498 0.5000 0.3235
0.3502 0.0000 0.6765
0.6498 0.0000 0.3235
0.8502 0.5000 0.6765
0.1483 0.0000 0.8234
0.3517 0.5000 0.1766
0.6483 0.5000 0.8234
0.8517 0.0000 0.1766
```



Values of E, in order: -25.8 -25.4 -24.5 -17.3 -44.6 -26.4 -23.6 -84.4 -56.9 -19.5 -19.0 -20.3 -93.7 -105.3 -75.8 -83.8 -25.3 -16.3 -88.7 -78.1, all in eV per cell.
Values of magnetization, in order: 3.7 5.0 6.0 5.0 5.0 1.4 2.7 2.9 1.0 3.0 2.3 3.8 1.0 1.0 5.0 1.0 14.1 0.0 1.0 3.0, all in μB per formula unit.